Entry 1:
Material: NiPb2WO6
Method: DFT, meta-GGA SCAN
State: single point on PBEsol structure

a b c (Å): 5.578 5.578 5.578
angles (deg): 60.00 60.00 60.00
Positions (direct):
Ni 0.000 0.000 0.000
Pb 0.250 0.250 0.250
Pb 0.750 0.750 0.750
W 0.500 0.500 0.500
O 0.256 0.256 0.744
O 0.256 0.744 0.256
O 0.256 0.744 0.744
O 0.744 0.256 0.256
O 0.744 0.256 0.744
O 0.744 0.744 0.256

Computed properties:
ΔE_f (raw) = -1.656 eV per atom
Uncorrected energy = -29.137 eV per atom

=====

Entry 2:
Material: Ni2PtO2
Method: DFT, meta-GGA SCAN
State: single point on PBEsol structure

a b c (Å): 3.209 3.209 10.029
angles (deg): 90.00 90.00 90.00
Positions (direct):
Ni 0.000 0.000 0.142
Ni 0.000 0.000 0.858
Ni 0.500 0.500 0.358
Ni 0.500 0.500 0.642
Pt 0.000 0.000 0.500
Pt 0.500 0.500 0.000
O 0.000 0.500 0.250
O 0.000 0.500 0.750
O 0.500 0.000 0.250
O 0.500 0.000 0.750

Computed properties:
ΔE_f (raw) = -0.019 eV per atom
Uncorrected energy = -23.019 eV per atom